The following is a GGA+U calculation of crystalline CrCoAsO6 at its relaxed geometry, from Alexandria via LeMat-Bulk.

Cell lengths 4.9448, 4.9448, 8.7412 Å; angles 90.00, 90.00, 120.00 degrees
Space group P-31c (No. 163)
Unique sites:
Cr 0.3333 0.6667 0.2500 (multiplicity 2)
Co 0.0000 0.0000 0.0000 (multiplicity 2)
As 0.3333 0.6667 0.7500 (multiplicity 2)
O 0.0107 0.3606 0.6338 (multiplicity 12)

electronic total energy	-6.378	eV/atom